Record 1
Crystalline TbMnSi2Os at its relaxed geometry, computed with GGA-PBE.

Computed properties:
For the total magnetization, the calculation gives 2.707 Bohr magnetons per cell. The calculation puts the uncorrected formation energy at -0.706 eV per atom.

Structure (CIF):
```
data_TbMnSi2Os
_cell_length_a 3.999
_cell_length_b 3.999
_cell_length_c 5.868
_cell_angle_alpha 109.92
_cell_angle_beta 109.92
_cell_angle_gamma 90.00
_symmetry_space_group_name_H-M 'P 1'
_symmetry_Int_Tables_number 1
_symmetry_space_group_name_Hall 'P 1'
loop_
_atom_site_label
_atom_site_fract_x
_atom_site_fract_y
_atom_site_fract_z
_atom_site_occupancy
Tb1 0.000 0.000 0.000 1
Mn1 0.750 0.250 0.500 1
Os1 0.250 0.750 0.500 1
Si1 0.380 0.380 0.760 1
Si2 0.620 0.620 0.240 1
```



Record 2
Crystalline PmNdTl at its relaxed geometry, computed with GGA-PBE.

Computed properties:
Its energy above the most stable polymorph in this dataset is 213 meV per atom. For the formation energy, the calculation gives -0.05 eV per atom. For the total magnetization, the calculation gives 0.769 Bohr magnetons per cell.

Structure (CIF):
```
data_PmNdTl
_cell_length_a 5.329
_cell_length_b 5.329
_cell_length_c 5.329
_cell_angle_alpha 60.00
_cell_angle_beta 60.00
_cell_angle_gamma 60.00
_symmetry_space_group_name_H-M 'P 1'
_symmetry_Int_Tables_number 1
_symmetry_space_group_name_Hall 'P 1'
loop_
_atom_site_label
_atom_site_fract_x
_atom_site_fract_y
_atom_site_fract_z
_atom_site_occupancy
Tl1 0.250 0.250 0.250 1
Nd1 0.000 0.000 0.000 1
Pm1 0.500 0.500 0.500 1
```



Record 3
Crystalline NdTeI at its relaxed geometry, computed with GGA-PBE.

Computed properties:
Its energy above the most stable polymorph in this dataset is 44 meV per atom. For the total magnetization, the calculation gives 0.000 Bohr magnetons per cell. The calculation puts the uncorrected formation energy at -1.383 eV per atom.

Structure (CIF):
```
data_NdTeI
_cell_length_a 7.411
_cell_length_b 4.545
_cell_length_c 4.545
_cell_angle_alpha 120.00
_cell_angle_beta 90.00
_cell_angle_gamma 90.00
_symmetry_space_group_name_H-M 'P 1'
_symmetry_Int_Tables_number 1
_symmetry_space_group_name_Hall 'P 1'
loop_
_atom_site_label
_atom_site_fract_x
_atom_site_fract_y
_atom_site_fract_z
_atom_site_occupancy
Nd1 0.017 0.000 0.000 1
Te1 0.236 0.333 0.667 1
I1 0.747 0.667 0.333 1
```



Record 4
Crystalline Pm3HoO at its relaxed geometry, computed with GGA-PBE.

Computed properties:
For the total magnetization, the calculation gives 0.000 Bohr magnetons per cell. The calculation puts the uncorrected formation energy at -1.107 eV per atom.

Structure (CIF):
```
data_Pm3HoO
_cell_length_a 5.054
_cell_length_b 5.054
_cell_length_c 5.054
_cell_angle_alpha 90.00
_cell_angle_beta 90.00
_cell_angle_gamma 90.00
_symmetry_space_group_name_H-M 'P 1'
_symmetry_Int_Tables_number 1
_symmetry_space_group_name_Hall 'P 1'
loop_
_atom_site_label
_atom_site_fract_x
_atom_site_fract_y
_atom_site_fract_z
_atom_site_occupancy
O1 0.000 0.000 0.000 1
Pm1 0.500 0.000 0.000 1
Ho1 0.500 0.500 0.500 1
Pm2 0.000 0.000 0.500 1
Pm3 0.000 0.500 0.000 1
```



Record 5
Crystalline HfPS2N at its relaxed geometry, computed with GGA-PBE.

Computed properties:
Its energy above the most stable polymorph in this dataset is 230 meV per atom. For the total magnetization, the calculation gives 0.000 Bohr magnetons per cell. The calculation puts the uncorrected formation energy at 0.321 eV per atom.

Structure (CIF):
```
data_HfPS2N
_cell_length_a 4.182
_cell_length_b 4.182
_cell_length_c 4.025
_cell_angle_alpha 90.00
_cell_angle_beta 90.00
_cell_angle_gamma 90.00
_symmetry_space_group_name_H-M 'P 1'
_symmetry_Int_Tables_number 1
_symmetry_space_group_name_Hall 'P 1'
loop_
_atom_site_label
_atom_site_fract_x
_atom_site_fract_y
_atom_site_fract_z
_atom_site_occupancy
Hf1 0.500 0.500 0.500 1
S1 0.500 0.000 0.000 1
P1 0.000 0.000 0.500 1
N1 0.000 0.000 0.000 1
S2 0.000 0.500 0.000 1
```



Record 6
Crystalline Hf2NiHAu at its relaxed geometry, computed with GGA-PBE.

Computed properties:
Its energy above the most stable polymorph in this dataset is 0 meV per atom. For the total magnetization, the calculation gives 0.000 Bohr magnetons per cell.

Structure (CIF):
```
data_Hf2NiHAu
_cell_length_a 4.453
_cell_length_b 4.453
_cell_length_c 3.681
_cell_angle_alpha 90.00
_cell_angle_beta 90.00
_cell_angle_gamma 90.00
_symmetry_space_group_name_H-M 'P 1'
_symmetry_Int_Tables_number 1
_symmetry_space_group_name_Hall 'P 1'
loop_
_atom_site_label
_atom_site_fract_x
_atom_site_fract_y
_atom_site_fract_z
_atom_site_occupancy
Au1 0.500 0.500 0.500 1
Hf1 0.000 0.500 0.000 1
H1 0.000 0.000 0.000 1
Ni1 0.000 0.000 0.500 1
Hf2 0.500 0.000 0.000 1
```



Record 7
Crystalline CdSe2O at its relaxed geometry, computed with GGA-PBE.

Computed properties:
Its energy above the most stable polymorph in this dataset is 0 meV per atom. For the total magnetization, the calculation gives 0.000 Bohr magnetons per cell. The calculation puts the uncorrected formation energy at -0.026 eV per atom.

Structure (CIF):
```
data_CdSe2O
_cell_length_a 5.447
_cell_length_b 5.447
_cell_length_c 7.159
_cell_angle_alpha 67.64
_cell_angle_beta 67.64
_cell_angle_gamma 90.00
_symmetry_space_group_name_H-M 'P 1'
_symmetry_Int_Tables_number 1
_symmetry_space_group_name_Hall 'P 1'
loop_
_atom_site_label
_atom_site_fract_x
_atom_site_fract_y
_atom_site_fract_z
_atom_site_occupancy
Se1 0.375 0.483 0.750 1
Se2 0.233 0.625 0.250 1
O1 0.500 0.500 0.000 1
Cd1 0.000 0.000 0.000 1
Se3 0.875 0.767 0.750 1
Cd2 0.750 0.250 0.500 1
Se4 0.517 0.125 0.250 1
O2 0.250 0.750 0.500 1
```



Record 8
Crystalline CrCo2HRh at its relaxed geometry, computed with GGA-PBE.

Computed properties:
The value obtained for the final energy is -34.55 eV per formula unit. For the total magnetization, the calculation gives 0.167 Bohr magnetons per cell.

Structure (CIF):
```
data_CrCo2HRh
_cell_length_a 3.631
_cell_length_b 3.631
_cell_length_c 3.777
_cell_angle_alpha 90.00
_cell_angle_beta 90.00
_cell_angle_gamma 90.00
_symmetry_space_group_name_H-M 'P 1'
_symmetry_Int_Tables_number 1
_symmetry_space_group_name_Hall 'P 1'
loop_
_atom_site_label
_atom_site_fract_x
_atom_site_fract_y
_atom_site_fract_z
_atom_site_occupancy
Cr1 0.000 0.000 0.500 1
Co1 0.500 0.000 0.000 1
H1 0.000 0.000 0.000 1
Rh1 0.500 0.500 0.500 1
Co2 0.000 0.500 0.000 1
```



Record 9
Crystalline Zr4Bi2H at its relaxed geometry, computed with GGA-PBE.

Computed properties:
Its energy above the most stable polymorph in this dataset is 59 meV per atom. For the total magnetization, the calculation gives 0.000 Bohr magnetons per cell.

Structure (CIF):
```
data_Zr4Bi2H
_cell_length_a 6.963
_cell_length_b 6.004
_cell_length_c 7.439
_cell_angle_alpha 90.00
_cell_angle_beta 105.51
_cell_angle_gamma 90.00
_symmetry_space_group_name_H-M 'P 1'
_symmetry_Int_Tables_number 1
_symmetry_space_group_name_Hall 'P 1'
loop_
_atom_site_label
_atom_site_fract_x
_atom_site_fract_y
_atom_site_fract_z
_atom_site_occupancy
Bi1 0.783 0.750 0.066 1
Zr1 0.130 0.750 0.411 1
Bi2 0.218 0.250 0.425 1
Zr2 0.489 0.504 0.746 1
Bi3 0.217 0.250 0.934 1
Zr3 0.139 0.750 0.907 1
Bi4 0.782 0.750 0.575 1
Zr4 0.861 0.250 0.093 1
Zr5 0.870 0.250 0.589 1
Zr6 0.489 0.996 0.746 1
Zr7 0.511 0.004 0.254 1
H1 0.715 0.250 0.802 1
H2 0.285 0.750 0.198 1
Zr8 0.511 0.496 0.254 1
```



Record 10
Crystalline PHSeBr2 at its relaxed geometry, computed with GGA-PBE.

Computed properties:
Its energy above the most stable polymorph in this dataset is 237 meV per atom. For the total magnetization, the calculation gives 0.663 Bohr magnetons per cell.

Structure (CIF):
```
data_PHSeBr2
_cell_length_a 5.240
_cell_length_b 5.240
_cell_length_c 3.498
_cell_angle_alpha 90.00
_cell_angle_beta 90.00
_cell_angle_gamma 90.00
_symmetry_space_group_name_H-M 'P 1'
_symmetry_Int_Tables_number 1
_symmetry_space_group_name_Hall 'P 1'
loop_
_atom_site_label
_atom_site_fract_x
_atom_site_fract_y
_atom_site_fract_z
_atom_site_occupancy
Br1 0.500 0.000 0.000 1
Br2 0.000 0.500 0.000 1
Se1 0.000 0.000 0.500 1
P1 0.500 0.500 0.500 1
H1 0.000 0.000 0.000 1
```



Record 11
Crystalline AlHgP2Cl at its relaxed geometry, computed with GGA-PBE.

Computed properties:
Its energy above the most stable polymorph in this dataset is 0 meV per atom. For the total magnetization, the calculation gives 1.059 Bohr magnetons per cell. The calculation puts the uncorrected formation energy at 0.301 eV per atom.

Structure (CIF):
```
data_AlHgP2Cl
_cell_length_a 4.810
_cell_length_b 4.810
_cell_length_c 4.673
_cell_angle_alpha 90.00
_cell_angle_beta 90.00
_cell_angle_gamma 90.00
_symmetry_space_group_name_H-M 'P 1'
_symmetry_Int_Tables_number 1
_symmetry_space_group_name_Hall 'P 1'
loop_
_atom_site_label
_atom_site_fract_x
_atom_site_fract_y
_atom_site_fract_z
_atom_site_occupancy
P1 0.500 0.000 0.000 1
P2 0.000 0.500 0.000 1
Hg1 0.500 0.500 0.500 1
Al1 0.000 0.000 0.000 1
Cl1 0.000 0.000 0.500 1
```



Record 12
Crystalline Te2RhI at its relaxed geometry, computed with GGA-PBE.

Computed properties:
For the total magnetization, the calculation gives 0.000 Bohr magnetons per cell. The calculation puts the uncorrected formation energy at 0.630 eV per atom.

Structure (CIF):
```
data_Te2RhI
_cell_length_a 7.617
_cell_length_b 7.617
_cell_length_c 6.346
_cell_angle_alpha 53.12
_cell_angle_beta 53.12
_cell_angle_gamma 90.00
_symmetry_space_group_name_H-M 'P 1'
_symmetry_Int_Tables_number 1
_symmetry_space_group_name_Hall 'P 1'
loop_
_atom_site_label
_atom_site_fract_x
_atom_site_fract_y
_atom_site_fract_z
_atom_site_occupancy
Rh1 0.250 0.250 0.500 1
Te1 0.250 0.750 0.000 1
Te2 0.750 0.750 0.000 1
Te3 0.250 0.250 0.000 1
Te4 0.750 0.250 0.000 1
I1 0.750 0.250 0.500 1
I2 0.250 0.750 0.500 1
Rh2 0.750 0.750 0.500 1
```



Record 13
Crystalline Nd2Pd15Au2 at its relaxed geometry, computed with GGA-PBE.

Computed properties:
For the formation energy, the calculation gives -0.33 eV per atom. For the total magnetization, the calculation gives 0.000 Bohr magnetons per cell.

Structure (CIF):
```
data_Nd2Pd15Au2
_cell_length_a 7.008
_cell_length_b 7.008
_cell_length_c 7.008
_cell_angle_alpha 82.32
_cell_angle_beta 82.32
_cell_angle_gamma 82.32
_symmetry_space_group_name_H-M 'P 1'
_symmetry_Int_Tables_number 1
_symmetry_space_group_name_Hall 'P 1'
loop_
_atom_site_label
_atom_site_fract_x
_atom_site_fract_y
_atom_site_fract_z
_atom_site_occupancy
Pd1 0.840 0.348 0.348 1
Pd2 0.348 0.348 0.840 1
Au1 0.102 0.102 0.102 1
Pd3 0.307 0.693 0.000 1
Pd4 0.693 0.307 0.000 1
Pd5 0.000 0.693 0.307 1
Au2 0.898 0.898 0.898 1
Pd6 0.348 0.840 0.348 1
Nd1 0.661 0.661 0.661 1
Pd7 0.652 0.160 0.652 1
Pd8 0.000 0.000 0.500 1
Pd9 0.307 0.000 0.693 1
Pd10 0.160 0.652 0.652 1
Pd11 0.000 0.307 0.693 1
Pd12 0.000 0.500 0.000 1
Pd13 0.652 0.652 0.160 1
Pd14 0.500 0.000 0.000 1
Pd15 0.693 0.000 0.307 1
Nd2 0.339 0.339 0.339 1
```